Entry from the Alexandria database: a relaxed CsCoPb2F8 crystal (PBE+U).

abc: 5.458 5.545 7.589
angles: 68.52 93.26 97.63
Sites, in units of the cell vectors:
Cs  0.000  0.000  0.500
Co  0.000  0.000  0.000
Pb  0.526  0.375  0.780
Pb  0.474  0.625  0.220
F  0.031  0.702  0.221
F  0.776  0.791  0.904
F  0.731  0.068  0.109
F  0.969  0.298  0.779
F  0.224  0.209  0.096
F  0.269  0.932  0.891
F  0.467  0.738  0.485
F  0.533  0.262  0.515

Values from the calculation:
SG   No. 2
Size of the total moment   0.01 Bohr magnetons per cell
Crystal system   triclinic
Total energy   -4.634 eV per atom